[1]
An optimized crystal structure of PRuSe, computed with PBE-GGA.

Results
The formation energy (no corrections) is -18.4 kJ per mole of atoms. The value obtained for the total magnetic moment is 0.0000 μB/atom. The crystal system is monoclinic. As for the raw total energy: -6.247 eV per atom. The calculation puts the theoretical density at 6.68 Mg/m³.

abc: 13.501 2.955 5.338
angles: 90.00 99.83 90.00
Space group Cm (No. 8)
Symmetry-distinct sites (fractional):
1 P 0.000 0.000 0.000 (multiplicity 2)
2 P 0.224 0.500 0.908 (multiplicity 2)
3 Ru 0.064 0.500 0.706 (multiplicity 2)
4 Ru 0.353 0.000 0.989 (multiplicity 2)
5 Se 0.121 0.000 0.369 (multiplicity 2)
6 Se 0.378 0.000 0.483 (multiplicity 2)

[2]
An optimized crystal structure of PRu2Se, computed with PBE-GGA.

Results
The formation energy (no corrections) is 36.5 kJ per mole of atoms. The value obtained for the total magnetic moment is 0.0317 μB/atom. The crystal system is orthorhombic. As for the raw total energy: -6.483 eV per atom. The calculation puts the theoretical density at 7.54 Mg/m³.

abc: 2.886 4.863 9.796
angles: 90.00 90.00 90.00
Space group Cmm2 (No. 35)
Symmetry-distinct sites (fractional):
1 P 0.000 0.000 0.000 (multiplicity 2)
2 Ru 0.000 0.000 0.424 (multiplicity 2)
3 Ru 0.000 0.500 0.183 (multiplicity 2)
4 Se 0.000 0.500 0.632 (multiplicity 2)